(1)
First-principles (PBE-GGA) data for an optimized crystal structure of LaPrDy3, as listed in Alexandria via LeMat-Bulk.

Properties
- Calculated formation energy: 0.02 eV per atom
- Energy above the most stable polymorph in this dataset: 0 meV per atom

a = 10.2344 Å, b = 3.6250 Å, c = 18.0064 Å
α = 90.00°, β = 90.00°, γ = 90.00°
With the nearest neighbours (Å) after each atom.
Atoms (fractional coordinates):
La: 0.1258 0.2500 0.0497  6 Dy 3.61-3.63, 4 La 3.62-3.63, 2 Pr 3.67
La: 0.3742 0.7500 0.5497  6 Dy 3.61-3.63, 4 La 3.62-3.63, 2 Pr 3.67
La: 0.6258 0.2500 0.4503  6 Dy 3.61-3.63, 4 La 3.62-3.63, 2 Pr 3.67
La: 0.8742 0.7500 0.9503  6 Dy 3.61-3.63, 4 La 3.62-3.63, 2 Pr 3.67
Pr: 0.1195 0.2500 0.6516  8 Dy 3.56-3.65, 2 Pr 3.63, 2 La 3.67
Pr: 0.3805 0.7500 0.1516  8 Dy 3.56-3.65, 2 Pr 3.63, 2 La 3.67
Pr: 0.6195 0.2500 0.8484  8 Dy 3.56-3.65, 2 Pr 3.63, 2 La 3.67
Pr: 0.8805 0.7500 0.3484  8 Dy 3.56-3.65, 2 Pr 3.63, 2 La 3.67
Dy: 0.1247 0.2500 0.4486  7 Dy 3.56-3.64, 3 Pr 3.58-3.65, 2 La 3.62
Dy: 0.1253 0.2500 0.8493  1 Pr 3.56, 8 Dy 3.58-3.64, 3 La 3.61-3.63
Dy: 0.1280 0.2500 0.2507  7 Dy 3.56-3.64, 4 Pr 3.58-3.63, 1 La 3.62
Dy: 0.3720 0.7500 0.7507  7 Dy 3.56-3.64, 4 Pr 3.58-3.63, 1 La 3.62
Dy: 0.3747 0.7500 0.3493  1 Pr 3.56, 8 Dy 3.58-3.64, 3 La 3.61-3.63
Dy: 0.3753 0.7500 0.9486  7 Dy 3.56-3.64, 3 Pr 3.58-3.65, 2 La 3.62
Dy: 0.6247 0.2500 0.0514  7 Dy 3.56-3.64, 3 Pr 3.58-3.65, 2 La 3.62
Dy: 0.6253 0.2500 0.6507  1 Pr 3.56, 8 Dy 3.58-3.64, 3 La 3.61-3.63
Dy: 0.6280 0.2500 0.2493  7 Dy 3.56-3.64, 4 Pr 3.58-3.63, 1 La 3.62
Dy: 0.8720 0.7500 0.7493  7 Dy 3.56-3.64, 4 Pr 3.58-3.63, 1 La 3.62
Dy: 0.8747 0.7500 0.1507  1 Pr 3.56, 8 Dy 3.58-3.64, 3 La 3.61-3.63
Dy: 0.8753 0.7500 0.5514  7 Dy 3.56-3.64, 3 Pr 3.58-3.65, 2 La 3.62

***

(2)
First-principles (PBE-GGA) data for an optimized crystal structure of MgUZn2, as listed in Alexandria via LeMat-Bulk.

Properties
- Calculated formation energy: 0.03 eV per atom

a = 2.8732 Å, b = 2.8732 Å, c = 8.7261 Å
α = 90.00°, β = 90.00°, γ = 90.00°
With the nearest neighbours (Å) after each atom.
Atoms (fractional coordinates):
Mg: 0.0000 0.0000 0.0000  4 Mg 2.87, 8 Zn 2.88
U: 0.0000 0.0000 0.5000  4 U 2.87, 8 Zn 3.09
Zn: 0.5000 0.5000 0.2335  4 Zn 2.87, 4 Mg 2.88, 4 U 3.09
Zn: 0.5000 0.5000 0.7665  4 Zn 2.87, 4 Mg 2.88, 4 U 3.09

***

(3)
First-principles (PBE-GGA) data for an optimized crystal structure of AcOs2Br2O7, as listed in Alexandria via LeMat-Bulk.

Properties
- Raw formation energy: -14.1 eV per formula unit

a = 3.9424 Å, b = 3.9424 Å, c = 14.5144 Å
α = 94.82°, β = 94.82°, γ = 90.12°
With the nearest neighbours (Å) after each atom.
Atoms (fractional coordinates):
Ac: 0.0000 0.0000 0.0000  12 O 2.69-2.79
Os: 0.4525 0.4525 0.8479  1 O 1.74
Os: 0.5475 0.5475 0.1521  1 O 1.74
Br: 0.1338 0.1338 0.5675  1 Br 2.32
Br: 0.8662 0.8662 0.4325  1 Br 2.32
O: 0.0393 0.5391 0.1267  2 Os 2.00-2.01
O: 0.4151 0.4151 0.7269  1 Os 1.74
O: 0.4609 0.9607 0.8734  2 Os 2.00-2.01
O: 0.5000 0.5000 0.0000  2 Os 2.19
O: 0.5391 0.0393 0.1267  2 Os 2.00-2.01
O: 0.5849 0.5849 0.2731  1 Os 1.74
O: 0.9607 0.4609 0.8734  2 Os 2.00-2.01

***

(4)
First-principles (PBE-GGA) data for an optimized crystal structure of PmY2Pu3Se6, as listed in Alexandria via LeMat-Bulk.

Properties
- Raw formation energy: -20.2 eV per formula unit

a = 9.2601 Å, b = 9.2601 Å, c = 8.2957 Å
α = 103.43°, β = 103.43°, γ = 25.70°
With the nearest neighbours (Å) after each atom.
Atoms (fractional coordinates):
Pm: 0.0000 0.0000 0.0000  6 Se 2.94-2.96
Y: 0.3337 0.3337 0.6679  6 Se 2.89-2.91
Y: 0.6663 0.6663 0.3321  6 Se 2.89-2.91
Pu: 0.0000 0.0000 0.5000  6 Se 2.90-2.94
Pu: 0.3347 0.3347 0.1669  6 Se 2.91-2.95
Pu: 0.6653 0.6653 0.8331  6 Se 2.91-2.95
Se: 0.1679 0.1679 0.5806  3 Y 2.91, 3 Pu 2.94-2.95
Se: 0.1686 0.1686 0.0872  2 Y 2.90, 3 Pu 2.91-2.94, 1 Pm 2.96
Se: 0.4985 0.4985 0.7454  1 Y 2.89, 3 Pu 2.90-2.93, 2 Pm 2.94
Se: 0.5015 0.5015 0.2546  1 Y 2.89, 3 Pu 2.90-2.93, 2 Pm 2.94
Se: 0.8314 0.8314 0.9128  2 Y 2.90, 3 Pu 2.91-2.94, 1 Pm 2.96
Se: 0.8321 0.8321 0.4194  3 Y 2.91, 3 Pu 2.94-2.95

***

(5)
First-principles (PBE-GGA) data for an optimized crystal structure of Sc2InAu4, as listed in Alexandria via LeMat-Bulk.

Properties
- Calculated formation energy: -0.54 eV per atom

a = 7.3898 Å, b = 7.3898 Å, c = 7.3898 Å
α = 38.15°, β = 38.15°, γ = 38.15°
With the nearest neighbours (Å) after each atom.
Atoms (fractional coordinates):
Sc: 0.2279 0.2279 0.2279  5 Au 2.79-2.91, 3 In 3.06
Sc: 0.7721 0.7721 0.7721  5 Au 2.79-2.91, 3 In 3.06
In: 0.5000 0.5000 0.5000  2 Au 2.80, 6 Sc 3.06
Au: 0.0861 0.0861 0.0861  4 Sc 2.82-2.91, 3 Au 3.01
Au: 0.3638 0.3638 0.3638  1 Sc 2.79, 1 In 2.80, 6 Au 3.01-3.06
Au: 0.6362 0.6362 0.6362  1 Sc 2.79, 1 In 2.80, 6 Au 3.01-3.06
Au: 0.9139 0.9139 0.9139  4 Sc 2.82-2.91, 3 Au 3.01

***

(6)
First-principles (PBE-GGA) data for an optimized crystal structure of Rb2BiHF6, as listed in Alexandria via LeMat-Bulk.

a = 6.6791 Å, b = 6.6791 Å, c = 6.6791 Å
α = 130.01°, β = 130.01°, γ = 73.39°
With the nearest neighbours (Å) after each atom.
Atoms (fractional coordinates):
Rb: 0.2500 0.7500 0.5000  4 F 2.85
Rb: 0.7500 0.2500 0.5000  4 F 2.85
Bi: 0.0000 0.0000 0.0000  6 F 2.27-2.28
H: 0.5000 0.5000 0.0000  4 F 1.71
F: 0.2120 0.2120 0.0000  1 Bi 2.27
F: 0.2855 0.2855 0.5709  1 H 1.71
F: 0.2855 0.7145 0.0000  1 H 1.71
F: 0.7145 0.2855 0.0000  1 H 1.71
F: 0.7145 0.7145 0.4291  1 H 1.71
F: 0.7880 0.7880 0.0000  1 Bi 2.27

***

(7)
First-principles (PBE-GGA) data for an optimized crystal structure of La2ThRh, as listed in Alexandria via LeMat-Bulk.

Properties
- Calculated formation energy: -0.28 eV per atom
- Energy above the most stable polymorph in this dataset: 168 meV per atom

a = 3.6585 Å, b = 3.6585 Å, c = 8.4543 Å
α = 90.00°, β = 90.00°, γ = 90.00°
With the nearest neighbours (Å) after each atom.
Atoms (fractional coordinates):
La: 0.0000 0.0000 0.2016  4 Rh 3.10, 1 La 3.41
La: 0.0000 0.0000 0.7984  4 Rh 3.10, 1 La 3.41
Th: 0.5000 0.5000 0.5000  8 La 3.61, 4 Th 3.66
Rh: 0.5000 0.5000 0.0000  8 La 3.10

***

(8)
First-principles (PBE-GGA) data for an optimized crystal structure of CePmFe, as listed in Alexandria via LeMat-Bulk.

Properties
- Calculated formation energy: -0.01 eV per atom
- Energy above the most stable polymorph in this dataset: 0 meV per atom

a = 6.8296 Å, b = 6.3263 Å, c = 7.1386 Å
α = 90.00°, β = 101.49°, γ = 90.00°
With the nearest neighbours (Å) after each atom.
Atoms (fractional coordinates):
Ce: 0.1727 0.1840 0.4805  1 Fe 2.12
Ce: 0.1727 0.3160 0.9805  1 Fe 2.12
Ce: 0.8273 0.6840 0.0195  1 Fe 2.12
Ce: 0.8273 0.8160 0.5195  1 Fe 2.12
Pm: 0.3401 0.6750 0.6459  3 Fe 3.03-3.20
Pm: 0.3401 0.8250 0.1459  3 Fe 3.03-3.20
Pm: 0.6599 0.1750 0.8541  3 Fe 3.03-3.20
Pm: 0.6599 0.3250 0.3541  3 Fe 3.03-3.20
Fe: 0.0164 0.5638 0.2695  1 Ce 2.12
Fe: 0.0164 0.9362 0.7695  1 Ce 2.12
Fe: 0.9836 0.0638 0.2305  1 Ce 2.12
Fe: 0.9836 0.4362 0.7305  1 Ce 2.12

***

no.,final energy (eV per atom),DOS at the Fermi energy (states/eV/f.u.)
1,-4.68,6.52
2,-3.83,4.26
3,-6.56,7.78
4,-8.48,26.90
5,-4.61,2.94
6,-4.16,0.00
7,-6.43,6.48
8,-6.39,3.26